No. 1
Zr5PaP6 PBE relaxed; energy of formation = -1347 meV per atom; M_tot = 0.0 Bohr magnetons per cell
1.0
3.2827 -5.7099 0.0000
3.2827 5.7099 0.0000
-2.1803 0.0000 6.1505
Zr Pa P
5 1 6
Direct
0.0000 0.0000 0.0000
0.1701 0.8299 0.5000
0.3298 0.6702 0.0000
0.6702 0.3298 0.0000
0.8299 0.1701 0.5000
0.5000 0.5000 0.5000
0.0779 0.4143 0.2452
0.2454 0.2454 0.7502
0.4143 0.0779 0.2452
0.5857 0.9221 0.7548
0.7546 0.7546 0.2498
0.9221 0.5857 0.7548

---

No. 2
ZrPa4P6 PBE relaxed; energy of formation = -1145 meV per atom; M_tot = 0.0 Bohr magnetons per cell
1.0
5.4073 3.1219 4.4821
-5.4073 3.1219 4.4821
0.0000 -6.2438 4.4821
Zr Pa P
2 8 12
Direct
0.0000 0.0000 0.0000
0.5000 0.5000 0.5000
0.1317 0.7500 0.3683
0.2500 0.2500 0.2500
0.2500 0.6317 0.8683
0.3683 0.1317 0.7500
0.6317 0.8683 0.2500
0.7500 0.3683 0.1317
0.7500 0.7500 0.7500
0.8683 0.2500 0.6317
0.0649 0.9153 0.6802
0.0847 0.3198 0.9351
0.1802 0.4153 0.5649
0.3198 0.9351 0.0847
0.4153 0.5649 0.1802
0.4351 0.8198 0.5847
0.5649 0.1802 0.4153
0.5847 0.4351 0.8198
0.6802 0.0649 0.9153
0.8198 0.5847 0.4351
0.9153 0.6802 0.0649
0.9351 0.0847 0.3198

---

No. 3
P2Pb3 PBE relaxed; energy of formation = 207 meV per atom; M_tot = 0.0 Bohr magnetons per cell; energy above the most stable polymorph in this dataset = 0.184 eV/atom
1.0
3.8056 2.1972 5.9330
-3.8056 2.1972 5.9330
0.0000 -4.3944 5.9330
P Pb
4 6
Direct
0.1338 0.1338 0.1338
0.3662 0.3662 0.3662
0.6338 0.6338 0.6338
0.8662 0.8662 0.8662
0.0308 0.7500 0.4692
0.2500 0.5308 0.9692
0.4692 0.0308 0.7500
0.5308 0.9692 0.2500
0.7500 0.4692 0.0308
0.9692 0.2500 0.5308

---

No. 4
PPb3 PBE relaxed; energy of formation = 140 meV per atom; M_tot = 0.0 Bohr magnetons per cell; energy above the most stable polymorph in this dataset = 0.035 eV/atom
1.0
-1.9203 2.6865 5.4373
1.9203 -2.6865 5.4373
1.9203 2.6865 -5.4373
P Pb
1 3
Direct
0.0000 0.0000 0.0000
0.2004 0.7004 0.5000
0.5000 0.5000 0.0000
0.7996 0.2996 0.5000